First-principles (GGA-PBEsol) data for crystalline Mn2SbRh at its relaxed geometry, as listed in the Alexandria database.

## Properties
- calculated total energy (eV per atom) = -7.922
- ΔE_f (raw) (eV per atom) = 0.13
- space-group type = P4mm, No. 99

Unit cell a=3.100 b=3.100 c=5.860 alpha=90.00 beta=90.00 gamma=90.00
Sites, in units of the cell vectors:
Mn1 0.000 0.000 0.000
Mn2 0.500 0.500 0.218
Sb1 0.500 0.500 0.750
Rh1 0.000 0.000 0.472


First-principles (GGA-PBEsol) data for crystalline Ba2PCl at its relaxed geometry, as listed in the Alexandria database.

## Properties
- calculated total energy (eV per atom) = -4.587
- ΔE_f (raw) (eV per atom) = -1.56
- excess energy over the best structure of this formula in the dataset (eV/atom) = 0.079
- space-group type = P4/mmm, No. 123

Unit cell a=4.585 b=4.585 c=6.338 alpha=90.00 beta=90.00 gamma=90.00
Sites, in units of the cell vectors:
Ba1 0.000 0.000 0.000
Ba2 0.500 0.500 0.500
P1 0.000 0.000 0.500
Cl1 0.500 0.500 0.000


First-principles (GGA-PBEsol) data for crystalline BaNaAl2Br at its relaxed geometry, as listed in the Alexandria database.

## Properties
- calculated total energy (eV per atom) = -2.290
- ΔE_f (raw) (eV per atom) = 0.43
- space-group type = P4/mmm, No. 123

Unit cell a=6.338 b=6.338 c=6.041 alpha=90.00 beta=90.00 gamma=90.00
Sites, in units of the cell vectors:
Ba1 0.000 0.000 0.000
Na1 0.500 0.500 0.500
Al1 0.000 0.500 0.000
Al2 0.500 0.000 0.000
Br1 0.000 0.000 0.500


> Which of these has the highest ΔE_f (raw)?

BaNaAl2Br